! GGA-PBE Ba3Ac2In3, relaxed; values from VASP
&SYSTEM
  ibrav = 0, nat = 8, ntyp = 3
/
ATOMIC_SPECIES
Ba 137.33 Ba.upf
Ac 227.00 Ac.upf
In 114.82 In.upf
ATOMIC_POSITIONS crystal
Ba 0.000 0.755 0.000
Ba 0.245 0.245 0.000
Ba 0.755 0.000 0.000
Ac 0.333 0.667 0.000
Ac 0.667 0.333 0.000
In 0.000 0.391 0.500
In 0.391 0.000 0.500
In 0.609 0.609 0.500
CELL_PARAMETERS angstrom
9.775 0.000 0.000
-4.888 8.466 0.000
0.000 0.000 3.764
! energy of formation	-297	meV/atom